# Sm3Al2O8 PBE relaxed
data_Sm3Al2O8
_cell_length_a 5.5818
_cell_length_b 5.5818
_cell_length_c 18.8101
_cell_angle_alpha 90.00
_cell_angle_beta 90.00
_cell_angle_gamma 120.00
_space_group_name_H-M_alt 'R -3 m'
_space_group_IT_number 166
_space_group_name_Hall '-R 3 2"'
loop_
_atom_site_label
_atom_site_fract_x
_atom_site_fract_y
_atom_site_fract_z
Sm1 0.0000 0.0000 0.0000
Sm2 0.0000 0.0000 0.1976
Al1 0.0000 0.0000 0.4071
O1 0.0000 0.0000 0.3144
O2 0.0131 0.5065 0.7689
# total DFT energy (no corrections): -7.664 eV/atom
# formation energy without anion corrections: -2.95 eV/atom
# density of states at the Fermi level: 0.82 states/eV/atom
# total magnetic moment: 1.02 μB/f.u.

# SmAlO3 PBE relaxed
data_SmAlO3
_cell_length_a 5.3494
_cell_length_b 7.5424
_cell_length_c 5.3245
_cell_angle_alpha 90.00
_cell_angle_beta 90.00
_cell_angle_gamma 90.00
_space_group_name_H-M_alt 'P n m a'
_space_group_IT_number 62
_space_group_name_Hall '-P 2ac 2n'
loop_
_atom_site_label
_atom_site_fract_x
_atom_site_fract_y
_atom_site_fract_z
Sm1 0.0340 0.2500 0.0085
Al1 0.0000 0.0000 0.5000
O1 0.0128 0.7500 0.4287
O2 0.2196 0.5383 0.7795
# total DFT energy (no corrections): -7.946 eV/atom
# formation energy without anion corrections: -3.28 eV/atom
# density of states at the Fermi level: 0.00 states/eV/atom
# total magnetic moment: 0.00 μB/f.u.

# Sm4Al2O9 PBE relaxed
data_Sm4Al2O9
_cell_length_a 7.6617
_cell_length_b 10.8030
_cell_length_c 11.3684
_cell_angle_alpha 90.00
_cell_angle_beta 109.09
_cell_angle_gamma 90.00
_space_group_name_H-M_alt 'P 1 21/c 1'
_space_group_IT_number 14
_space_group_name_Hall '-P 2ybc'
loop_
_atom_site_label
_atom_site_fract_x
_atom_site_fract_y
_atom_site_fract_z
Sm1 0.0244 0.0891 0.3084
Sm2 0.1641 0.6223 0.5872
Sm3 0.3351 0.1250 0.9324
Sm4 0.4762 0.6040 0.2136
Al1 0.2209 0.1872 0.6283
Al2 0.3474 0.6853 0.8826
O1 0.0766 0.2338 0.4805
O2 0.0771 0.5043 0.3939
O3 0.2154 0.7261 0.2531
O4 0.2161 0.0289 0.6612
O5 0.2313 0.2293 0.2654
O6 0.2996 0.5314 0.8284
O7 0.3593 0.7276 0.0345
O8 0.4335 0.2417 0.6162
O9 0.4339 0.5094 0.6046
# total DFT energy (no corrections): -8.071 eV/atom
# formation energy without anion corrections: -3.34 eV/atom
# density of states at the Fermi level: 0.00 states/eV/atom
# total magnetic moment: 0.00 μB/f.u.

# SmAlO2 PBE relaxed
data_SmAlO2
_cell_length_a 3.1022
_cell_length_b 3.1022
_cell_length_c 19.6990
_cell_angle_alpha 90.00
_cell_angle_beta 90.00
_cell_angle_gamma 120.00
_space_group_name_H-M_alt 'R -3 m'
_space_group_IT_number 166
_space_group_name_Hall '-R 3 2"'
loop_
_atom_site_label
_atom_site_fract_x
_atom_site_fract_y
_atom_site_fract_z
Sm1 0.0000 0.0000 0.0000
Al1 0.0000 0.0000 0.5000
O1 0.0000 0.0000 0.1192
# total DFT energy (no corrections): -6.757 eV/atom
# formation energy without anion corrections: -2.16 eV/atom
# density of states at the Fermi level: 0.58 states/eV/atom
# total magnetic moment: 0.00 μB/f.u.

# SmAlO3 PBE relaxed
data_SmAlO3
_cell_length_a 5.3043
_cell_length_b 5.3043
_cell_length_c 14.8610
_cell_angle_alpha 90.00
_cell_angle_beta 90.00
_cell_angle_gamma 120.00
_space_group_name_H-M_alt 'R -3'
_space_group_IT_number 148
_space_group_name_Hall '-R 3'
loop_
_atom_site_label
_atom_site_fract_x
_atom_site_fract_y
_atom_site_fract_z
Sm1 0.0000 0.0000 0.1282
Al1 0.0000 0.0000 0.3427
O1 0.0130 0.4008 0.9262
# total DFT energy (no corrections): -7.738 eV/atom
# formation energy without anion corrections: -3.07 eV/atom
# density of states at the Fermi level: 0.00 states/eV/atom
# total magnetic moment: 0.00 μB/f.u.

# Sm2AlO4 PBE relaxed
data_Sm2AlO4
_cell_length_a 10.1104
_cell_length_b 3.0936
_cell_length_c 6.1812
_cell_angle_alpha 90.00
_cell_angle_beta 117.34
_cell_angle_gamma 90.00
_space_group_name_H-M_alt 'C 1 2/m 1'
_space_group_IT_number 12
_space_group_name_Hall '-C 2y'
loop_
_atom_site_label
_atom_site_fract_x
_atom_site_fract_y
_atom_site_fract_z
Sm1 0.1595 0.0000 0.1914
Al1 0.0000 0.5000 0.5000
O1 0.0501 0.5000 0.8361
O2 0.1424 0.0000 0.5584
# total DFT energy (no corrections): -7.602 eV/atom
# formation energy without anion corrections: -2.89 eV/atom
# density of states at the Fermi level: 0.04 states/eV/atom
# total magnetic moment: 0.00 μB/f.u.

# SrSmAl3O7 PBE relaxed
data_SrSmAl3O7
_cell_length_a 11.1191
_cell_length_b 11.2133
_cell_length_c 5.2102
_cell_angle_alpha 90.00
_cell_angle_beta 90.00
_cell_angle_gamma 90.00
_space_group_name_H-M_alt 'C m m 2'
_space_group_IT_number 35
_space_group_name_Hall 'C 2 -2'
loop_
_atom_site_label
_atom_site_fract_x
_atom_site_fract_y
_atom_site_fract_z
Sr1 0.0000 0.1617 0.0000
Sm1 0.1603 0.5000 0.9735
Al1 0.0000 0.3592 0.4506
Al2 0.1471 0.0000 0.5285
Al3 0.2500 0.2500 0.4948
O1 0.0000 0.0000 0.6476
O2 0.0000 0.3716 0.7867
O3 0.0000 0.5000 0.2928
O4 0.1256 0.2904 0.3036
O5 0.1572 0.0000 0.1950
O6 0.2182 0.1225 0.6895
# total DFT energy (no corrections): -7.517 eV/atom
# formation energy without anion corrections: -3.16 eV/atom
# density of states at the Fermi level: 0.00 states/eV/atom
# total magnetic moment: 0.00 μB/f.u.

# SrSmAlO4 PBE relaxed
data_SrSmAlO4
_cell_length_a 3.7491
_cell_length_b 3.7491
_cell_length_c 12.3759
_cell_angle_alpha 90.00
_cell_angle_beta 90.00
_cell_angle_gamma 90.00
_space_group_name_H-M_alt 'I 4 m m'
_space_group_IT_number 107
_space_group_name_Hall 'I 4 -2'
loop_
_atom_site_label
_atom_site_fract_x
_atom_site_fract_y
_atom_site_fract_z
Sr1 0.0000 0.0000 0.0000
Sm1 0.0000 0.0000 0.2850
Al1 0.0000 0.0000 0.6422
O1 0.0000 0.0000 0.4770
O2 0.0000 0.0000 0.8057
O3 0.0000 0.5000 0.1520
# total DFT energy (no corrections): -7.415 eV/atom
# formation energy without anion corrections: -3.13 eV/atom
# density of states at the Fermi level: 0.00 states/eV/atom
# total magnetic moment: 0.00 μB/f.u.

# SmTaAl2O8 PBE relaxed
data_SmTaAl2O8
_cell_length_a 6.8190
_cell_length_b 6.8190
_cell_length_c 6.3791
_cell_angle_alpha 90.00
_cell_angle_beta 90.00
_cell_angle_gamma 90.00
_space_group_name_H-M_alt 'I -4 m 2'
_space_group_IT_number 119
_space_group_name_Hall 'I -4 -2'
loop_
_atom_site_label
_atom_site_fract_x
_atom_site_fract_y
_atom_site_fract_z
Sm1 0.0000 0.0000 0.0000
Ta1 0.0000 0.5000 0.7500
Al1 0.0000 0.0000 0.5000
Al2 0.0000 0.5000 0.2500
O1 0.0000 0.2059 0.6721
O2 0.0000 0.3293 0.0450
# total DFT energy (no corrections): -7.842 eV/atom
# formation energy without anion corrections: -2.53 eV/atom
# density of states at the Fermi level: 0.95 states/eV/atom
# total magnetic moment: 1.95 μB/f.u.

# Tb2SmAlO PBE relaxed
data_Tb2SmAlO
_cell_length_a 4.7472
_cell_length_b 4.7472
_cell_length_c 4.8695
_cell_angle_alpha 90.00
_cell_angle_beta 90.00
_cell_angle_gamma 90.00
_space_group_name_H-M_alt 'P 4/m m m'
_space_group_IT_number 123
_space_group_name_Hall '-P 4 2'
loop_
_atom_site_label
_atom_site_fract_x
_atom_site_fract_y
_atom_site_fract_z
Tb1 0.0000 0.5000 0.0000
Sm1 0.0000 0.0000 0.5000
Al1 0.5000 0.5000 0.5000
O1 0.0000 0.0000 0.0000
# total DFT energy (no corrections): -5.898 eV/atom
# formation energy without anion corrections: -1.36 eV/atom
# density of states at the Fermi level: 0.31 states/eV/atom
# total magnetic moment: 0.00 μB/f.u.

# TbSm12Al4O3 PBE relaxed
data_TbSm12Al4O3
_cell_length_a 10.0598
_cell_length_b 10.0598
_cell_length_c 10.0598
_cell_angle_alpha 90.00
_cell_angle_beta 90.00
_cell_angle_gamma 90.00
_space_group_name_H-M_alt 'I m -3 m'
_space_group_IT_number 229
_space_group_name_Hall '-I 4 2 3'
loop_
_atom_site_label
_atom_site_fract_x
_atom_site_fract_y
_atom_site_fract_z
Tb1 0.0000 0.0000 0.0000
Sm1 0.0000 0.0000 0.2738
Sm2 0.0000 0.2500 0.5000
Al1 0.2500 0.2500 0.2500
O1 0.0000 0.0000 0.5000
# total DFT energy (no corrections): -5.228 eV/atom
# formation energy without anion corrections: -0.67 eV/atom
# density of states at the Fermi level: 0.73 states/eV/atom
# total magnetic moment: 0.00 μB/f.u.

# TbSm2AlO PBE relaxed
data_TbSm2AlO
_cell_length_a 4.8640
_cell_length_b 4.8640
_cell_length_c 4.7404
_cell_angle_alpha 90.00
_cell_angle_beta 90.00
_cell_angle_gamma 90.00
_space_group_name_H-M_alt 'P 4/m m m'
_space_group_IT_number 123
_space_group_name_Hall '-P 4 2'
loop_
_atom_site_label
_atom_site_fract_x
_atom_site_fract_y
_atom_site_fract_z
Tb1 0.0000 0.0000 0.0000
Sm1 0.0000 0.5000 0.5000
Al1 0.5000 0.5000 0.0000
O1 0.0000 0.0000 0.5000
# total DFT energy (no corrections): -5.906 eV/atom
# formation energy without anion corrections: -1.35 eV/atom
# density of states at the Fermi level: 0.33 states/eV/atom
# total magnetic moment: 0.00 μB/f.u.